[1]
{
  "formula": "CePm12Rh7",
  "functional": "PBE",
  "state": "optimized geometry",
  "lattice_angstrom": [[-1.7944, 8.6450, 1.4190], [-5.1978, -4.7043, 5.5518], [8.4650, -1.3733, 2.5352]],
  "species": ["Ce", "Pm", "Pm", "Pm", "Pm", "Pm", "Pm", "Pm", "Pm", "Pm", "Pm", "Pm", "Pm", "Rh", "Rh", "Rh", "Rh", "Rh", "Rh", "Rh"],
  "fractional_positions": [[0.0000, 0.0000, 0.0000], [0.9268, 0.3108, 0.7771], [0.6892, 0.2229, 0.0732], [0.4640, 0.1574, 0.3826], [0.8426, 0.6174, 0.5360], [0.2229, 0.0732, 0.6892], [0.6174, 0.5360, 0.8426], [0.3826, 0.4640, 0.1574], [0.7771, 0.9268, 0.3108], [0.1574, 0.3826, 0.4640], [0.5360, 0.8426, 0.6174], [0.3108, 0.7771, 0.9268], [0.0732, 0.6892, 0.2229], [0.9635, 0.6525, 0.8800], [0.3475, 0.1200, 0.0365], [0.1200, 0.0365, 0.3475], [0.5000, 0.5000, 0.5000], [0.8800, 0.9635, 0.6525], [0.6525, 0.8800, 0.9635], [0.0365, 0.3475, 0.1200]],
  "m_tot_mub_per_atom": 0.000,
  "e_form_mev_per_atom": -492,
  "spacegroup": "R-3 (148)",
  "n_ef_per_ev_atom": 0.97
}

---

[2]
{
  "formula": "Y2ZnFeAu",
  "functional": "PBE",
  "state": "optimized geometry",
  "lattice_angstrom": [[-1.6770, 5.1209, 1.0721], [-2.5782, -1.6106, 3.6606], [4.3024, 0.7092, 3.3424]],
  "species": ["Y", "Y", "Zn", "Au", "Fe"],
  "fractional_positions": [[0.0000, 0.0000, 0.5000], [0.5000, 0.0000, 0.0000], [0.5000, 0.5000, 0.5000], [0.0000, 0.0000, 0.0000], [0.0000, 0.5000, 0.0000]],
  "m_tot_mub_per_atom": 0.392,
  "e_form_mev_per_atom": 356,
  "spacegroup": "P4/mmm (123)",
  "n_ef_per_ev_atom": 1.27
}

---

[3]
{
  "formula": "Pu2Sn2Ru3",
  "functional": "PBE",
  "state": "optimized geometry",
  "lattice_angstrom": [[4.5689, 0.0000, 0.0000], [0.0000, 4.2515, 1.9124], [-2.2844, -0.5955, 6.9965]],
  "species": ["Pu", "Pu", "Sn", "Sn", "Ru", "Ru", "Ru"],
  "fractional_positions": [[0.6224, 0.8775, 0.2449], [0.3776, 0.1225, 0.7551], [0.8781, 0.6218, 0.7562], [0.1219, 0.3782, 0.2438], [0.0000, 0.0000, 0.0000], [0.7521, 0.2478, 0.5042], [0.2479, 0.7522, 0.4958]],
  "m_tot_mub_per_atom": 1.231,
  "e_form_mev_per_atom": -244,
  "spacegroup": "Immm (71)",
  "n_ef_per_ev_atom": 1.68
}

---

[4]
{
  "formula": "SrAc5Mg4",
  "functional": "PBE",
  "state": "optimized geometry",
  "lattice_angstrom": [[4.1250, 0.0000, 0.0000], [0.0000, 4.1250, 0.0000], [0.0000, 0.0000, 22.2574]],
  "species": ["Sr", "Ac", "Ac", "Ac", "Ac", "Ac", "Mg", "Mg", "Mg", "Mg"],
  "fractional_positions": [[0.0000, 0.0000, 0.0000], [0.5000, 0.5000, 0.1340], [0.5000, 0.5000, 0.3153], [0.5000, 0.5000, 0.5000], [0.5000, 0.5000, 0.6847], [0.5000, 0.5000, 0.8660], [0.0000, 0.0000, 0.2246], [0.0000, 0.0000, 0.4073], [0.0000, 0.0000, 0.5927], [0.0000, 0.0000, 0.7754]],
  "m_tot_mub_per_atom": 0.000,
  "e_form_mev_per_atom": -45,
  "spacegroup": "P4/mmm (123)",
  "n_ef_per_ev_atom": 1.33
}

---

Q: Number 3 is which compound?
A: Pu2Sn2Ru3